A PBEsol-optimized structure of ZrTlCr, computed with meta-GGA SCAN.

Structure (POSCAR):
```
ZrTlCr
1.0
6.4191 0.0000 0.0000
0.0000 6.4191 0.0000
0.0000 0.0000 6.4191
Zr Tl Cr
4 4 4
Direct
0.0000 0.0000 0.0000 Zr
0.0000 0.5000 0.5000 Zr
0.5000 0.0000 0.5000 Zr
0.5000 0.5000 0.0000 Zr
0.0000 0.0000 0.5000 Tl
0.0000 0.5000 0.0000 Tl
0.5000 0.0000 0.0000 Tl
0.5000 0.5000 0.5000 Tl
0.2500 0.2500 0.7500 Cr
0.2500 0.7500 0.2500 Cr
0.7500 0.2500 0.2500 Cr
0.7500 0.7500 0.7500 Cr
```

Results
energy relative to the elements	0.1960	eV/atom
energy relative to the lowest polymorph listed for this composition	0.0	meV/atom
D(E_F)	0.879	states/eV/cell
crystal system	cubic